(1)
DFT (PBE) results for a geometry-optimized HfMnTl2Pt structure.

Values from the calculation:
electronic total energy	-26.08	eV/cell
space-group type	P4/mmm (123)
formation energy	3.81	eV per formula unit
M_tot	3.4	μB/f.u.

Cell lengths 4.945, 4.795, 4.945 Å; angles 90.00, 90.00, 90.00 degrees
Fractional positions:
Hf: 0.500 0.500 0.500
Tl: 0.000 0.000 0.500
Pt: 0.000 0.500 0.000
Mn: 0.000 0.000 0.000
Tl: 0.500 0.000 0.000


(2)
DFT (PBE) results for a geometry-optimized AlHg7 structure.

Values from the calculation:
electronic total energy	-5.02	eV/cell
space-group type	Fm-3m (225)
formation energy	0.83	eV per formula unit
M_tot	0.0	μB/f.u.

Cell lengths 6.605, 6.605, 6.605 Å; angles 60.00, 60.00, 60.00 degrees
Fractional positions:
Hg: 0.000 0.000 0.500
Al: 0.000 0.000 0.000
Hg: 0.500 0.500 0.000
Hg: 0.000 0.500 0.000
Hg: 0.000 0.500 0.500
Hg: 0.500 0.000 0.000
Hg: 0.500 0.000 0.500
Hg: 0.500 0.500 0.500


(3)
DFT (PBE) results for a geometry-optimized Pu3NbNi8 structure.

Values from the calculation:
electronic total energy	-101.93	eV/cell
space-group type	R3m (160)
formation energy	-2.61	eV per formula unit
M_tot	16.4	μB/f.u.

Cell lengths 4.975, 4.975, 8.633 Å; angles 73.25, 73.25, 60.00 degrees
Fractional positions:
Ni: 0.931 0.436 0.197
Ni: 0.436 0.931 0.197
Ni: 0.938 0.444 0.679
Ni: 0.687 0.687 0.938
Ni: 0.444 0.938 0.679
Pu: 0.500 0.500 0.501
Ni: 0.187 0.187 0.438
Ni: 0.938 0.938 0.679
Nb: 0.877 0.877 0.369
Pu: 0.001 0.001 0.998
Pu: 0.374 0.374 0.877
Ni: 0.436 0.436 0.197


(4)
DFT (PBE) results for a geometry-optimized Ag2SbMo structure.

Values from the calculation:
electronic total energy	-18.84	eV/cell
space-group type	F-43m (216)
uncorrected formation energy	454	meV/atom
M_tot	0.6	μB/f.u.

Cell lengths 4.708, 4.708, 4.708 Å; angles 60.00, 60.00, 60.00 degrees
Fractional positions:
Ag: 0.750 0.750 0.750
Ag: 0.000 0.000 0.000
Mo: 0.500 0.500 0.500
Sb: 0.250 0.250 0.250